DFT (PBE+U) results for LiMnPO4 after structural relaxation.

## Properties
Polymorph energy (0 for the lowest one) ... 0.49 eV per formula unit
Total magnetization ... 20.00 μB per cell
Fermi-level density of states ... 0.000 states/eV/atom

Cell and atoms, written as POSCAR:
```
LiMnPO4
1.0
9.3798 0.0000 0.0000
0.0000 6.4283 0.0000
0.0000 0.0000 5.0649
Li Mn P O
4 4 4 16
direct
0.0000 0.0000 0.0000 Li
0.0000 0.5000 0.0000 Li
0.5000 0.0000 0.5000 Li
0.5000 0.5000 0.5000 Li
0.1453 0.2500 0.4745 Mn
0.3547 0.7500 0.9745 Mn
0.6453 0.2500 0.0255 Mn
0.8547 0.7500 0.5255 Mn
0.1804 0.7500 0.4624 P
0.3196 0.2500 0.9624 P
0.6804 0.7500 0.0376 P
0.8196 0.2500 0.5376 P
0.1112 0.5558 0.3319 O
0.1112 0.9442 0.3319 O
0.1510 0.7500 0.7644 O
0.1558 0.2500 0.9007 O
0.3442 0.7500 0.4007 O
0.3490 0.2500 0.2644 O
0.3888 0.0558 0.8319 O
0.3888 0.4442 0.8319 O
0.6112 0.5558 0.1681 O
0.6112 0.9442 0.1681 O
0.6510 0.7500 0.7356 O
0.6558 0.2500 0.5993 O
0.8442 0.7500 0.0993 O
0.8490 0.2500 0.2356 O
0.8888 0.0558 0.6681 O
0.8888 0.4442 0.6681 O
```